## Li4SbO4 (PBE-GGA)

Data for a geometry-optimized Li4SbO4 structure.

Results
* E_form (uncorrected): -143.2 kJ per mole of atoms
* M_tot: 0.000 μB/atom
* V: 121.4 Å³/cell

```
data_Li4SbO4
_cell_length_a 5.7283
_cell_length_b 5.7283
_cell_length_c 5.7283
_cell_angle_alpha 124.99
_cell_angle_beta 124.99
_cell_angle_gamma 81.55
_symmetry_space_group_name_H-M 'P 1'
_symmetry_Int_Tables_number 1
loop_
_symmetry_equiv_pos_as_xyz
'x,y,z'
loop_
_atom_site_label
_atom_site_type_symbol
_atom_site_fract_x
_atom_site_fract_y
_atom_site_fract_z
_atom_site_occupancy
Li1 Li 0.0000 0.5000 0.5000 1
Li2 Li 0.1529 0.1529 0.0000 1
Li3 Li 0.5000 0.0000 0.5000 1
Li4 Li 0.8471 0.8471 0.0000 1
Sb1 Sb 0.5000 0.5000 0.0000 1
O1 O 0.1621 0.6519 0.0000 1
O2 O 0.3481 0.3481 0.5102 1
O3 O 0.6519 0.1621 0.0000 1
O4 O 0.8379 0.8379 0.4898 1
```